BaMg2Cl | Alexandria via LeMat-Bulk | GGA-PBE | optimized geometry; N(E_F) = 2.28 states/eV/f.u.; spin magnetization = 0.2 Bohr magnetons per cell; formation energy without anion corrections = -0.41 eV/atom; space-group type = Cmmm (65); crystal system = orthorhombic; VASP energy = -2.14 eV per atom
1.0
-2.3939 0.2351 -2.7743
3.1359 -1.7664 -0.7271
-4.2491 -8.7477 2.9251
Mg Ba Cl
2 1 1
direct
0.0000 0.0000 0.5500
0.0000 0.0000 0.9500
0.5000 0.5000 0.2500
0.5000 0.5000 0.7500